## Nd2ZnCd2 (PBE)

Data for a relaxed structure of Nd2ZnCd2.

Structure (POSCAR):
```
Nd2ZnCd2
1.0
5.5775 -2.4143 0.0000
5.5775 2.4143 0.0000
-3.5449 0.0000 9.6747
Nd Zn Cd
4 2 4
direct
0.0761 0.0761 0.3701
0.1778 0.1778 0.0735
0.8222 0.8222 0.9265
0.9239 0.9239 0.6299
0.2437 0.2437 0.7087
0.7563 0.7563 0.2913
0.3791 0.3791 0.3855
0.4922 0.4922 0.1419
0.5078 0.5078 0.8581
0.6209 0.6209 0.6145
```

Computed properties:
D(E_F)	10.49	states/eV per cell
energy of formation	-0.27	eV/atom
calculated density	7.4	g/cm³
M_tot	0.00	μB/f.u.

## Si2SbRh (PBE)

Data for a relaxed structure of Si2SbRh.

Structure (POSCAR):
```
Si2SbRh
1.0
3.0053 0.0000 0.0000
0.0000 3.1713 0.0000
0.0000 0.0000 7.1855
Si Sb Rh
2 1 1
direct
0.0000 0.0000 0.1931
0.0000 0.0000 0.8069
0.5000 0.5000 0.5000
0.5000 0.5000 0.0000
```

Computed properties:
D(E_F)	1.51	states/eV per cell
calculated density	6.8	g/cm³
E_form (uncorrected)	-0.016	eV/atom
M_tot	0.00	μB/f.u.

## LiCd3Se (PBE)

Data for a relaxed structure of LiCd3Se.

Structure (POSCAR):
```
LiCd3Se
1.0
4.9597 0.0000 0.0000
0.0000 4.9597 0.0000
0.0000 0.0000 4.9597
Li Cd Se
1 3 1
direct
0.0000 0.0000 0.0000
0.0000 0.0000 0.5000
0.0000 0.5000 0.0000
0.5000 0.0000 0.0000
0.5000 0.5000 0.5000
```

Computed properties:
D(E_F)	2.86	states/eV per cell
calculated density	5.8	g/cm³
E_form (uncorrected)	0.254	eV/atom
M_tot	0.00	μB/f.u.